Entry 1:
Density functional theory data (PBE-GGA) for crystalline CeDyIrPd at its relaxed geometry.

Lattice parameters (Å, degrees): 4.956 4.956 4.956 60.00 60.00 60.00
Sites, in units of the cell vectors:
1 Ce 0.000 0.000 0.000
2 Dy 0.500 0.500 0.500
3 Ir 0.750 0.750 0.750
4 Pd 0.250 0.250 0.250

Computed properties:
Its crystal system is cubic. As for the calculated volume: 86 Å³ per cell. The calculation puts the energy above the lowest structure with this stoichiometry at 0.098 eV/atom. Its formation energy from the elements is -0.7537 eV per atom. The density of states at the Fermi level is 7.83 states/eV/f.u. As for the raw total energy: -0.25361 hartree per atom.

---

Entry 2:
Density functional theory data (PBE-GGA) for crystalline Tb8Ho2Sn at its relaxed geometry.

Lattice parameters (Å, degrees): 10.089 10.089 6.438 94.69 94.69 31.88
Sites, in units of the cell vectors:
1 Tb 0.044 0.044 0.263
2 Tb 0.155 0.155 0.804
3 Tb 0.338 0.338 0.877
4 Tb 0.421 0.421 0.401
5 Tb 0.579 0.579 0.599
6 Tb 0.662 0.662 0.123
7 Tb 0.845 0.845 0.196
8 Tb 0.956 0.956 0.737
9 Ho 0.243 0.243 0.338
10 Ho 0.757 0.757 0.662
11 Sn 0.500 0.500 0.000

Computed properties:
Its crystal system is monoclinic. As for the calculated volume: 345 Å³ per cell. Its formation energy from the elements is -0.1000 eV per atom. The density of states at the Fermi level is 15.59 states/eV/f.u. As for the raw total energy: -0.17139 hartree per atom.

---

Entry 3:
Density functional theory data (PBE-GGA) for crystalline TcRu2Cl at its relaxed geometry.

Lattice parameters (Å, degrees): 2.827 2.827 8.789 90.00 90.00 120.75
Sites, in units of the cell vectors:
1 Tc 0.000 0.000 0.000
2 Ru 0.000 0.000 0.498
3 Ru 0.500 0.500 0.749
4 Cl 0.500 0.500 0.244

Computed properties:
Its crystal system is orthorhombic. For the raw formation energy, the calculation gives 0.6716 eV/atom. As for the calculated volume: 60 Å³ per cell. The calculation puts the energy above the lowest structure with this stoichiometry at 0.347 eV/atom. The density of states at the Fermi level is 6.09 states/eV/f.u. As for the raw total energy: -0.25796 hartree per atom.

---

What is the raw total energy in the first record?
-0.25361 hartree per atom

---

Copy entry 2 word for word.
Density functional theory data (PBE-GGA) for crystalline Tb8Ho2Sn at its relaxed geometry.

Lattice parameters (Å, degrees): 10.089 10.089 6.438 94.69 94.69 31.88
Sites, in units of the cell vectors:
1 Tb 0.044 0.044 0.263
2 Tb 0.155 0.155 0.804
3 Tb 0.338 0.338 0.877
4 Tb 0.421 0.421 0.401
5 Tb 0.579 0.579 0.599
6 Tb 0.662 0.662 0.123
7 Tb 0.845 0.845 0.196
8 Tb 0.956 0.956 0.737
9 Ho 0.243 0.243 0.338
10 Ho 0.757 0.757 0.662
11 Sn 0.500 0.500 0.000

Computed properties:
Its crystal system is monoclinic. As for the calculated volume: 345 Å³ per cell. Its formation energy from the elements is -0.1000 eV per atom. The density of states at the Fermi level is 15.59 states/eV/f.u. As for the raw total energy: -0.17139 hartree per atom.

---

Among the records above, which one has the highest calculated volume?
Tb8Ho2Sn